# 1
An optimized crystal structure of AlFeIrW, computed with PBE.

POSCAR file:
```
AlFeIrW
1.0
0.000 3.052 3.052
3.052 0.000 3.052
3.052 3.052 0.000
Fe Ir Al W
1 1 1 1
Direct
0.750 0.750 0.750
0.500 0.500 0.500
0.000 0.000 0.000
0.250 0.250 0.250
```

Output
spin magnetization = 2.07 μB/f.u.

---

# 2
An optimized crystal structure of AlFeIrW, computed with PBE.

POSCAR file:
```
AlFeIrW
1.0
0.648 3.196 2.809
-3.244 1.391 2.463
0.003 -0.817 4.226
Al Fe W Ir
1 1 1 1
Direct
0.000 0.000 0.000
0.750 0.750 0.750
0.500 0.500 0.500
0.250 0.250 0.250
```

Output
spin magnetization = 1.85 μB/f.u.

---

Number 1: polymorph energy (0 for the lowest one) 25.1 kJ/mol of atoms, final energy -33.86 eV for the cell shown. Number 2: polymorph energy (0 for the lowest one) 0.0 kJ/mol of atoms, final energy -34.90 eV for the cell shown.